# Ti2O3 (PBE-GGA, relaxed)
data_Ti2O3
_chemical_formula_sum 'Ti8 O12'
_cell_length_a 7.882
_cell_length_b 2.854
_cell_length_c 8.197
_cell_angle_alpha 90.00
_cell_angle_beta 90.00
_cell_angle_gamma 90.00
_symmetry_space_group_name_H-M 'P n m a'
_symmetry_Int_Tables_number 62
_symmetry_space_group_name_Hall '-P 2ac 2n'
loop_
_atom_site_label
_atom_site_type_symbol
_atom_site_fract_x
_atom_site_fract_y
_atom_site_fract_z
Ti1 Ti 0.030 0.250 0.184
Ti2 Ti 0.196 0.250 0.519
O1 O 0.058 0.750 0.375
O2 O 0.121 0.250 0.948
O3 O 0.207 0.750 0.690
# raw total energy = -0.3305 Ha/atom
# N(E_F) = 0.0 states/eV/f.u.
# total moment = 0.00 Bohr magnetons per cell
# raw formation energy = -2.8595 eV/atom



# Ti3O (PBE-GGA, relaxed)
data_Ti3O
_chemical_formula_sum 'Ti12 O4'
_cell_length_a 5.1613
_cell_length_b 5.1613
_cell_length_c 9.4962
_cell_angle_alpha 90.00
_cell_angle_beta 90.00
_cell_angle_gamma 120.00
_symmetry_space_group_name_H-M 'P -3 1 c'
_symmetry_Int_Tables_number 163
_symmetry_space_group_name_Hall '-P 3 2c'
loop_
_atom_site_label
_atom_site_type_symbol
_atom_site_fract_x
_atom_site_fract_y
_atom_site_fract_z
Ti1 Ti 0.0052 0.3336 0.1174
O1 O 0.0000 0.0000 0.2500
O2 O 0.3333 0.6667 0.2500
# raw total energy = -0.3144 Ha/atom
# N(E_F) = 2.3 states/eV/f.u.
# total moment = 0.00 Bohr magnetons per cell
# raw formation energy = -1.3956 eV/atom